A relaxed structure of KAuSe2. Source: Alexandria via LeMat-Bulk, functional PBE.

abc: 5.879 5.879 5.879
angles: 136.96 136.96 62.50
Fractional positions:
K: 0.000 0.000 0.000
Au: 0.750 0.250 0.500
Se: 0.250 0.750 0.500
Se: 0.500 0.500 0.000

Energy relative to the elements, uncorrected   0.03 eV per atom
Final energy   -2.805 eV per atom
Volume   23.38 Å³ per atom
M_tot   0.00 μB/cell
Symmetry   I-4m2, No. 119